Be17VRu: optimized geometry, PBE.

Unit cell a=5.458 b=5.458 c=5.458 alpha=82.80 beta=82.80 gamma=82.80
Sites, in units of the cell vectors:
Be1 0.052 0.052 0.052
Be2 0.153 0.460 0.853
Be3 0.153 0.853 0.460
Be4 0.161 0.161 0.649
Be5 0.161 0.649 0.161
Be6 0.255 0.255 0.255
Be7 0.306 0.806 0.806
Be8 0.460 0.153 0.853
Be9 0.460 0.853 0.153
Be10 0.506 0.506 0.988
Be11 0.506 0.988 0.506
Be12 0.649 0.161 0.161
Be13 0.806 0.306 0.806
Be14 0.806 0.806 0.306
Be15 0.853 0.153 0.460
Be16 0.853 0.460 0.153
Be17 0.988 0.506 0.506
V1 0.492 0.492 0.492
Ru1 0.820 0.820 0.820

Computed properties:
ΔH_f (0 K)   -0.163 eV/atom
Space group   R3m (160)
Uncorrected energy   -4.47 eV per atom
Crystal system   trigonal

=====

Pr3TlCl3: optimized geometry, PBE.

Unit cell a=8.657 b=8.657 c=15.088 alpha=122.09 beta=122.09 gamma=25.90
Sites, in units of the cell vectors:
Pr1 0.024 0.024 0.231
Pr2 0.126 0.126 0.529
Pr3 0.230 0.230 0.845
Pr4 0.770 0.770 0.155
Pr5 0.874 0.874 0.471
Pr6 0.976 0.976 0.769
Tl1 0.440 0.440 0.338
Tl2 0.560 0.560 0.662
Cl1 0.152 0.152 0.977
Cl2 0.217 0.217 0.397
Cl3 0.402 0.402 0.850
Cl4 0.598 0.598 0.150
Cl5 0.783 0.783 0.603
Cl6 0.848 0.848 0.023

Computed properties:
Space group   C2/m (12)
Uncorrected energy   -4.55 eV per atom
Formation energy without anion corrections   -1.37 eV/atom
Crystal system   monoclinic

=====

| no. | density of states at the Fermi level (states/eV per atom) |
| --- | --- |
| 1 | 0.189 |
| 2 | 0.600 |